Material: Na5Mn2P2C2O14
Method: DFT, PBE+U
State: relaxed

Geometry as CIF:
```
data_Na5Mn2P2C2O14
_space_group_name_H-M_alt 'P 1'
_space_group_IT_number 1
_cell_length_a 6.664
_cell_length_b 9.083
_cell_length_c 10.495
_cell_angle_alpha 90.16
_cell_angle_beta 90.15
_cell_angle_gamma 91.47
loop_
_space_group_symop_operation_xyz
'x,y,z'
loop_
_atom_site_label
_atom_site_type_symbol
_atom_site_fract_x
_atom_site_fract_y
_atom_site_fract_z
Na1 Na 0.000 0.000 0.000
Na2 Na 0.002 0.000 0.472
Na3 Na 0.257 0.822 0.223
Na4 Na 0.264 0.340 0.969
Na5 Na 0.268 0.337 0.480
Na6 Na 0.281 0.848 0.713
Na7 Na 0.525 0.158 0.216
Na8 Na 0.750 0.339 0.490
Na9 Na 0.754 0.340 0.958
Na10 Na 0.768 0.842 0.725
Mn1 Mn 0.004 0.444 0.206
Mn2 Mn 0.022 0.451 0.709
Mn3 Mn 0.526 0.734 0.995
Mn4 Mn 0.528 0.732 0.478
P1 P 0.022 0.665 0.447
P2 P 0.023 0.672 0.941
P3 P 0.508 0.502 0.246
P4 P 0.518 0.515 0.751
C1 C 0.016 0.150 0.731
C2 C 0.017 0.153 0.236
C3 C 0.514 0.022 0.966
C4 C 0.516 0.020 0.455
O1 O 0.000 0.224 0.127
O2 O 0.010 0.519 0.005
O3 O 0.011 0.238 0.631
O4 O 0.012 0.209 0.844
O5 O 0.018 0.513 0.514
O6 O 0.023 0.011 0.712
O7 O 0.023 0.639 0.301
O8 O 0.043 0.651 0.793
O9 O 0.051 0.015 0.236
O10 O 0.204 0.767 0.990
O11 O 0.211 0.761 0.485
O12 O 0.319 0.403 0.214
O13 O 0.331 0.419 0.713
O14 O 0.503 0.162 0.978
O15 O 0.503 0.652 0.180
O16 O 0.507 0.161 0.452
O17 O 0.509 0.941 0.352
O18 O 0.510 0.539 0.900
O19 O 0.516 0.951 0.860
O20 O 0.517 0.527 0.395
O21 O 0.522 0.665 0.682
O22 O 0.527 0.943 0.071
O23 O 0.534 0.948 0.563
O24 O 0.691 0.409 0.205
O25 O 0.709 0.426 0.722
O26 O 0.834 0.765 0.963
O27 O 0.841 0.759 0.489
O28 O 0.997 0.228 0.341
```

Results
- E: -6.752 eV/atom
- Total moment: 9.00 μB per formula unit
- Volume: 635.01 Å³/cell
- D(E_F): 0.150 states/eV per atom